First-principles (GGA-PBE) data for a relaxed CsTe2Se crystal, as listed in Alexandria.

Cell: 6.4172 6.4172 18.3896 Å, 90.00 90.00 120.00°
Space group R-3m (No. 166, hexagonal axes)
Inequivalent atoms, fractional coordinates:
Cs1 0.0000 0.0000 0.0000 [3 per cell]
Te1 0.0000 0.0000 0.3543 [6 per cell]
Se1 0.0000 0.0000 0.5000 [3 per cell]

Summary:
- Energy relative to the elements, uncorrected: -0.094 eV/atom